1.
! TlSbMo2Rh, relaxed, DFT PBE-GGA; values from VASP
! Raw formation energy: 2.02 eV per atom
&SYSTEM
  ibrav = 0, nat = 5, ntyp = 4
/
ATOMIC_SPECIES
Tl 204.38 Tl.upf
Sb 121.76 Sb.upf
Mo 95.94 Mo.upf
Rh 102.91 Rh.upf
CELL_PARAMETERS angstrom
5.139 0.000 0.000
0.000 5.139 0.000
0.000 0.000 4.949
ATOMIC_POSITIONS crystal
Tl 0.000 0.000 0.000
Sb 0.500 0.500 0.500
Mo 0.000 0.500 0.000
Mo 0.500 0.000 0.000
Rh 0.000 0.000 0.500

2.
! SrAcPr14, relaxed, DFT PBE-GGA; values from VASP
! Formation energy: 58.8 meV/atom
&SYSTEM
  ibrav = 0, nat = 16, ntyp = 3
/
ATOMIC_SPECIES
Sr 87.62 Sr.upf
Ac 227.00 Ac.upf
Pr 140.91 Pr.upf
CELL_PARAMETERS angstrom
12.167 0.000 0.000
0.000 3.789 6.565
0.000 -3.789 6.565
ATOMIC_POSITIONS crystal
Sr 0.000 0.000 0.000
Ac 0.000 0.499 0.499
Pr 0.000 0.001 0.498
Pr 0.000 0.498 0.001
Pr 0.250 0.331 0.331
Pr 0.255 0.829 0.829
Pr 0.256 0.338 0.831
Pr 0.256 0.831 0.338
Pr 0.500 0.001 0.499
Pr 0.500 0.499 0.001
Pr 0.500 0.499 0.499
Pr 0.500 0.999 0.999
Pr 0.744 0.338 0.831
Pr 0.744 0.831 0.338
Pr 0.745 0.829 0.829
Pr 0.750 0.331 0.331